A geometry-optimized W2NO6 structure, computed with PBE+U.

```
18
Lattice="0.0000 5.2091 5.2091 5.2091 0.0000 5.2091 5.2091 5.2091 0.0000" Properties=species:S:1:pos:R:3 pbc="T T T"
W 0.0000 0.0000 0.0000
W 2.6046 2.6046 0.0000
W 2.6046 0.0000 2.6046
W 0.0000 2.6046 2.6046
N 3.9069 3.9069 3.9069
N 6.5114 6.5114 6.5114
O 3.9069 3.9069 0.6035
O 3.9069 0.6035 3.9069
O 7.2102 3.9069 3.9069
O 6.5114 6.5114 3.2081
O 6.5114 3.2081 6.5114
O 9.8148 6.5114 6.5114
O 0.6035 3.9069 3.9069
O 3.9069 7.2102 3.9069
O 3.9069 3.9069 7.2102
O 3.2081 6.5114 6.5114
O 6.5114 9.8148 6.5114
O 6.5114 6.5114 9.8148
```

Output
As for the total DFT energy (no corrections): -126.311 eV for the cell shown. The total magnetic moment is 5.9 μB per cell.